No. 1
! Ce8ZnOs2, optimized geometry, DFT PBE; values from VASP
! ρ = 9.53 Mg/m³
! ΔH_f (0 K) = -98 meV per atom
! Density of states at the Fermi level = 2.3497 states/eV per atom
! Electronic total energy = -72.28 eV for the cell shown
! Polymorph energy (0 for the lowest one) = 30 meV/atom
&SYSTEM
  ibrav = 0, nat = 11, ntyp = 3
/
ATOMIC_SPECIES
Ce 140.12 Ce.upf
Zn 65.41 Zn.upf
Os 190.23 Os.upf
CELL_PARAMETERS angstrom
-2.593 -1.835 4.207
0.170 -5.887 -2.465
8.118 2.389 3.137
ATOMIC_POSITIONS angstrom
Ce 5.781 -0.774 4.785
Ce 1.913 -0.556 5.796
Ce 1.494 -2.097 1.176
Ce -1.039 -6.476 1.039
Ce 2.135 -4.755 0.430
Ce 1.419 -2.980 4.412
Ce 7.114 -1.136 2.144
Ce 4.660 -3.595 2.825
Zn 7.026 1.874 3.405
Os -0.054 -4.422 2.454
Os 3.547 -1.198 3.275

---

No. 2
! LaHg2Cl, optimized geometry, DFT PBE; values from VASP
! ρ = 8.52 Mg/m³
! Density of states at the Fermi level = 0.5588 states/eV per atom
! Raw formation energy = -0.8213 eV/atom
! Electronic total energy = -10.66 eV for the cell shown
! Polymorph energy (0 for the lowest one) = 18 meV/atom
&SYSTEM
  ibrav = 0, nat = 4, ntyp = 3
/
ATOMIC_SPECIES
Cl 35.45 Cl.upf
Hg 200.59 Hg.upf
La 138.91 La.upf
CELL_PARAMETERS angstrom
5.435 -0.070 0.090
3.953 3.730 0.090
1.423 0.555 5.487
ATOMIC_POSITIONS angstrom
Cl 2.660 1.037 1.881
Hg 1.410 0.550 5.260
Hg 8.185 3.191 4.489
La 5.386 2.100 2.357